An optimized crystal structure of Pr12C6I17. Source: Alexandria via LeMat-Bulk, functional PBEsol.

Unit cell a=19.8419 b=12.4777 c=19.0533 alpha=90.00 beta=91.04 gamma=90.00
Closest atoms and distances in Å follow each position.
Space group C2/c (No. 15)
Inequivalent atoms, fractional coordinates:
Pr (0.0046, 0.2094, 0.4793) (multiplicity 8)  4 C 2.64-2.84
Pr (0.0420, 0.0096, 0.8715) (multiplicity 8)  1 C 2.36
Pr (0.0479, 0.4743, 0.3465) (multiplicity 8)  1 C 2.33
Pr (0.0747, 0.2342, 0.2109) (multiplicity 8)  4 C 2.68-2.81
Pr (0.1441, 0.0005, 0.0518) (multiplicity 8)  1 C 2.32
Pr (0.1644, 0.2371, 0.3849) (multiplicity 8)  2 C 2.55-2.58
C (0.0330, 0.9997, 0.0120) (multiplicity 8)  1 C 1.38
C (0.0443, 0.1762, 0.3494) (multiplicity 8)  1 C 1.39
C (0.0448, 0.2877, 0.3465) (multiplicity 8)  1 C 1.39
I (0.0000, 0.5000, 0.0000) (multiplicity 4)  2 Pr 3.11
I (0.0436, 0.2636, 0.8602) (multiplicity 8)  3 Pr 3.18-3.29
I (0.1025, 0.0270, 0.7095) (multiplicity 8)  4 Pr 3.15-3.34
I (0.1063, 0.4900, 0.1954) (multiplicity 8)  3 Pr 3.13-3.27
I (0.1476, 0.2517, 0.0592) (multiplicity 8)  3 Pr 3.14-3.26
I (0.1541, 0.2554, 0.5524) (multiplicity 8)  3 Pr 3.20-3.30
I (0.1960, 0.4867, 0.3996) (multiplicity 8)  3 Pr 3.10-3.29
I (0.2017, 0.0123, 0.8996) (multiplicity 8)  3 Pr 3.14-3.21
I (0.2355, 0.2324, 0.2454) (multiplicity 8)  2 Pr 3.03-3.25

Computed properties:
Total energy, eV per atom: -5.43


An optimized crystal structure of RbPr6C2I12. Source: Alexandria via LeMat-Bulk, functional PBEsol.

Unit cell a=9.4938 b=9.5525 c=10.0282 alpha=70.60 beta=71.98 gamma=72.60
Closest atoms and distances in Å follow each position.
Space group P-1 (No. 2)
Inequivalent atoms, fractional coordinates:
Rb (0.0000, 0.0000, 0.0000) (multiplicity 1)  10 I 3.92-4.39
Pr (0.2254, 0.5914, 0.4758) (multiplicity 2)  2 C 2.64-2.65
Pr (0.3894, 0.5222, 0.8122) (multiplicity 2)  1 C 2.34
Pr (0.4689, 0.2248, 0.5906) (multiplicity 2)  2 C 2.64-2.66
C (0.4755, 0.5052, 0.5720) (multiplicity 2)  1 C 1.40
I (0.0570, 0.6487, 0.7830) (multiplicity 2)  2 Pr 3.09-3.15
I (0.1314, 0.2751, 0.5696) (multiplicity 2)  3 Pr 3.16-3.36
I (0.2128, 0.9356, 0.3534) (multiplicity 2)  2 Pr 3.08
I (0.2719, 0.5912, 0.1420) (multiplicity 2)  3 Pr 3.20-3.37
I (0.3383, 0.1919, 0.9270) (multiplicity 2)  2 Pr 3.11-3.16
I (0.4302, 0.8641, 0.7121) (multiplicity 2)  3 Pr 3.19-3.34

Computed properties:
Total energy, eV per atom: -4.74


An optimized crystal structure of TePtCI2. Source: Alexandria via LeMat-Bulk, functional PBEsol.

Unit cell a=4.6735 b=4.6735 c=4.8579 alpha=90.00 beta=90.00 gamma=90.00
Closest atoms and distances in Å follow each position.
Space group P4/mmm (No. 123)
Inequivalent atoms, fractional coordinates:
Te (0.0000, 0.0000, 0.0000) (multiplicity 1)  2 C 2.43
Pt (0.5000, 0.5000, 0.0000) (multiplicity 1)  4 Te 3.30, 8 I 3.37
C (0.0000, 0.0000, 0.5000) (multiplicity 1)  4 I 2.34, 2 Te 2.43
I (0.0000, 0.5000, 0.5000) (multiplicity 2)  2 C 2.34

Computed properties:
Total energy, eV per atom: -3.28


An optimized crystal structure of RbC3I. Source: Alexandria via LeMat-Bulk, functional PBEsol.

Unit cell a=4.4036 b=4.4036 c=4.4036 alpha=90.00 beta=90.00 gamma=90.00
Closest atoms and distances in Å follow each position.
Space group Pm-3m (No. 221)
Inequivalent atoms, fractional coordinates:
Rb (0.0000, 0.0000, 0.0000) (multiplicity 1)  12 C 3.11
C (0.0000, 0.5000, 0.5000) (multiplicity 3)  2 I 2.20
I (0.5000, 0.5000, 0.5000) (multiplicity 1)  6 C 2.20

Computed properties:
Total energy, eV per atom: -3.26
Offset from the most stable computed form, meV per atom: 0.0


An optimized crystal structure of Rb3CI. Source: Alexandria via LeMat-Bulk, functional PBEsol.

Unit cell a=5.8865 b=5.8865 c=5.8865 alpha=90.00 beta=90.00 gamma=90.00
Closest atoms and distances in Å follow each position.
Space group Pm-3m (No. 221)
Inequivalent atoms, fractional coordinates:
Rb (0.0000, 0.0000, 0.5000) (multiplicity 3)  2 C 2.94
C (0.0000, 0.0000, 0.0000) (multiplicity 1)  6 Rb 2.94
I (0.5000, 0.5000, 0.5000) (multiplicity 1)  12 Rb 4.16

Computed properties:
Total energy, eV per atom: -2.56


An optimized crystal structure of RbC3I. Source: Alexandria via LeMat-Bulk, functional PBEsol.

Unit cell a=5.2115 b=5.2115 c=5.2115 alpha=90.00 beta=90.00 gamma=90.00
Closest atoms and distances in Å follow each position.
Space group Pm-3m (No. 221)
Inequivalent atoms, fractional coordinates:
Rb (0.0000, 0.0000, 0.0000) (multiplicity 1)  6 C 2.61
C (0.0000, 0.0000, 0.5000) (multiplicity 3)  2 Rb 2.61
I (0.5000, 0.5000, 0.5000) (multiplicity 1)  12 C 3.69

Computed properties:
Total energy, eV per atom: -2.16
Offset from the most stable computed form, meV per atom: 1103.5


An optimized crystal structure of RbSbCI2. Source: Alexandria via LeMat-Bulk, functional PBEsol.

Unit cell a=6.7093 b=6.7093 c=7.3396 alpha=90.00 beta=90.00 gamma=90.00
Closest atoms and distances in Å follow each position.
Space group P4/mmm (No. 123)
Inequivalent atoms, fractional coordinates:
Rb (0.0000, 0.0000, 0.0000) (multiplicity 1)  4 I 3.35, 2 Sb 3.67
Sb (0.0000, 0.0000, 0.5000) (multiplicity 1)  2 Rb 3.67
C (0.5000, 0.5000, 0.5000) (multiplicity 1)  4 Sb 4.74, 8 I 4.97
I (0.0000, 0.5000, 0.0000) (multiplicity 2)  2 Rb 3.35

Computed properties:
Total energy, eV per atom: -1.78


An optimized crystal structure of RbTe2CI. Source: Alexandria via LeMat-Bulk, functional PBEsol.

Unit cell a=6.8714 b=6.8714 c=6.7201 alpha=90.00 beta=90.00 gamma=90.00
Closest atoms and distances in Å follow each position.
Space group P4/mmm (No. 123)
Inequivalent atoms, fractional coordinates:
Rb (0.0000, 0.0000, 0.0000) (multiplicity 1)  2 I 3.36, 4 Te 3.44
Te (0.0000, 0.5000, 0.0000) (multiplicity 2)  2 Rb 3.44
C (0.5000, 0.5000, 0.5000) (multiplicity 1)  8 Te 4.81, 4 I 4.86
I (0.0000, 0.0000, 0.5000) (multiplicity 1)  2 Rb 3.36

Computed properties:
Total energy, eV per atom: -1.72


An optimized crystal structure of RbZr6CI14. Source: Alexandria via LeMat-Bulk, functional PBEsol.

Unit cell a=15.7286 b=14.2392 c=12.7167 alpha=90.00 beta=90.00 gamma=90.00
Closest atoms and distances in Å follow each position.
Space group Cmce (No. 64)
Inequivalent atoms, fractional coordinates:
Rb (0.0000, 0.0000, 0.0000) (multiplicity 4)  12 I 3.74-4.17
Zr (0.0000, 0.1316, 0.4021) (multiplicity 8)  1 C 2.25
Zr (0.1046, 0.0636, 0.6081) (multiplicity 16)  1 C 2.33
C (0.0000, 0.0000, 0.5000) (multiplicity 4)  6 Zr 2.25-2.33
I (0.0000, 0.1573, 0.7649) (multiplicity 8)  2 Zr 2.91
I (0.1253, 0.0894, 0.2472) (multiplicity 16)  2 Zr 2.85-2.87
I (0.1261, 0.2421, 0.5061) (multiplicity 16)  2 Zr 2.86-2.87
I (0.2479, 0.0000, 0.0000) (multiplicity 8)  2 Zr 2.84
I (0.2500, 0.1515, 0.7500) (multiplicity 8)  2 Zr 3.17

Computed properties:
Total energy, eV per atom: -5.15


An optimized crystal structure of ReC3I. Source: Alexandria via LeMat-Bulk, functional PBEsol.

Unit cell a=4.1223 b=4.1223 c=4.1223 alpha=90.00 beta=90.00 gamma=90.00
Closest atoms and distances in Å follow each position.
Space group Pm-3m (No. 221)
Inequivalent atoms, fractional coordinates:
Re (0.0000, 0.0000, 0.0000) (multiplicity 1)  6 C 2.06
C (0.0000, 0.0000, 0.5000) (multiplicity 3)  2 Re 2.06
I (0.5000, 0.5000, 0.5000) (multiplicity 1)  12 C 2.91

Computed properties:
Total energy, eV per atom: -6.77


An optimized crystal structure of ReSb2CI. Source: Alexandria via LeMat-Bulk, functional PBEsol.

Unit cell a=4.5400 b=4.5400 c=4.5654 alpha=90.00 beta=90.00 gamma=90.00
Closest atoms and distances in Å follow each position.
Space group P4/mmm (No. 123)
Inequivalent atoms, fractional coordinates:
Re (0.0000, 0.0000, 0.0000) (multiplicity 1)  4 I 3.21, 8 Sb 3.22
Sb (0.0000, 0.5000, 0.5000) (multiplicity 2)  2 C 2.27
C (0.5000, 0.5000, 0.5000) (multiplicity 1)  4 Sb 2.27, 2 I 2.28
I (0.5000, 0.5000, 0.0000) (multiplicity 1)  2 C 2.28

Computed properties:
Total energy, eV per atom: -5.08


An optimized crystal structure of RhC3I. Source: Alexandria via LeMat-Bulk, functional PBEsol.

Unit cell a=4.0178 b=4.0178 c=4.0178 alpha=90.00 beta=90.00 gamma=90.00
Closest atoms and distances in Å follow each position.
Space group Pm-3m (No. 221)
Inequivalent atoms, fractional coordinates:
Rh (0.0000, 0.0000, 0.0000) (multiplicity 1)  12 C 2.84
C (0.0000, 0.5000, 0.5000) (multiplicity 3)  2 I 2.01
I (0.5000, 0.5000, 0.5000) (multiplicity 1)  6 C 2.01

Computed properties:
Total energy, eV per atom: -4.28